Entry 1:
ErPuRhO6 | PBE | relaxed

a = 5.5564 Å, b = 5.5564 Å, c = 8.6043 Å
α = 90.00°, β = 90.00°, γ = 120.00°
Atoms (fractional coordinates):
Er 0.3333 0.6667 0.2500
Er 0.6667 0.3333 0.7500
Pu 0.6667 0.3333 0.2500
Pu 0.3333 0.6667 0.7500
Rh 0.0000 0.0000 0.0000
Rh 0.0000 0.0000 0.5000
O 0.6872 0.6652 0.1234
O 0.9780 0.3128 0.1234
O 0.3128 0.9780 0.6234
O 0.0220 0.6872 0.8766
O 0.3348 0.3128 0.3766
O 0.9780 0.6652 0.3766
O 0.6652 0.9780 0.8766
O 0.6872 0.0220 0.3766
O 0.0220 0.3348 0.6234
O 0.3348 0.0220 0.1234
O 0.6652 0.6872 0.6234
O 0.3128 0.3348 0.8766

Magnetic moment: 2.00 μB/f.u.
Formation energy (no corrections): -2.15 eV per atom
SG: P-31c, No. 163

Entry 2:
MnNi2Mo | PBE | relaxed

a = 2.5941 Å, b = 2.5941 Å, c = 7.3980 Å
α = 90.00°, β = 90.00°, γ = 89.96°
Atoms (fractional coordinates):
Mn 0.0000 0.0000 0.4807
Mo 0.5000 0.5000 0.7576
Ni 0.0000 0.0000 0.0149
Ni 0.5000 0.5000 0.2469

Magnetic moment: 2.56 μB/f.u.
SG: P4mm, No. 99
Energy relative to the lowest polymorph listed for this composition: 0.40 eV per formula unit
E_form: 62 meV per atom

Entry 3:
Dy2TiN | PBE | relaxed

a = 3.3585 Å, b = 3.3585 Å, c = 8.9352 Å
α = 79.17°, β = 79.17°, γ = 60.00°
Atoms (fractional coordinates):
N 0.5000 0.5000 0.5000
Ti 0.0000 0.0000 0.0000
Dy 0.1145 0.1145 0.6565
Dy 0.8855 0.8855 0.3435

Magnetic moment: 1.58 μB/f.u.
Formation energy (no corrections): -0.43 eV per atom
SG: R-3m, No. 166

Entry 4:
Ce3Ga2Hg5 | PBE | relaxed

a = 6.3748 Å, b = 9.5865 Å, c = 9.5865 Å
α = 84.06°, β = 70.58°, γ = 70.58°
Atoms (fractional coordinates):
Ce 0.2500 0.0000 0.0000
Ce 0.7500 0.0000 0.0000
Ce 0.3737 0.3869 0.8656
Ce 0.6263 0.6131 0.1344
Ce 0.8737 0.8656 0.3869
Ce 0.1263 0.1344 0.6131
Ga 0.1213 0.7236 0.0338
Ga 0.8787 0.2764 0.9662
Ga 0.6213 0.0338 0.7236
Ga 0.3787 0.9662 0.2764
Hg 0.2500 0.5000 0.5000
Hg 0.7500 0.5000 0.5000
Hg 0.4936 0.7564 0.7564
Hg 0.0064 0.2436 0.2436
Hg 0.5064 0.2436 0.2436
Hg 0.9936 0.7564 0.7564
Hg 0.1280 0.5169 0.2272
Hg 0.8720 0.4831 0.7728
Hg 0.6280 0.2272 0.5169
Hg 0.3720 0.7728 0.4831

Magnetic moment: 3.75 μB/f.u.
SG: Ibam, No. 72
E_form: -160 meV per atom

Entry 5:
CdTe2Au2 | PBE | relaxed

a = 4.5462 Å, b = 4.5462 Å, c = 7.1949 Å
α = 71.58°, β = 71.58°, γ = 90.00°
Atoms (fractional coordinates):
Te 0.7500 0.2500 0.5000
Te 0.2500 0.7500 0.5000
Au 0.3970 0.3970 0.2059
Au 0.6030 0.6030 0.7941
Cd 0.0000 0.0000 0.0000

Magnetic moment: 0.00 μB/f.u.
Formation energy (no corrections): 0.23 eV per atom
SG: I4/mmm, No. 139
Energy relative to the lowest polymorph listed for this composition: 0.85 eV per formula unit

Entry 6:
Mg2FeRe | PBE | relaxed

a = 7.1147 Å, b = 7.1147 Å, c = 5.6708 Å
α = 51.15°, β = 51.15°, γ = 90.00°
Atoms (fractional coordinates):
Re 0.0000 0.0000 0.0000
Re 0.7500 0.2500 0.5000
Mg 0.6057 0.1250 0.2500
Mg 0.1443 0.6250 0.2500
Mg 0.3750 0.3943 0.7500
Mg 0.8750 0.8557 0.7500
Fe 0.5000 0.5000 0.0000
Fe 0.2500 0.7500 0.5000

Magnetic moment: 2.72 μB/f.u.
SG: I-42d, No. 122
Energy relative to the lowest polymorph listed for this composition: 3.28 eV per formula unit
E_form: 944 meV per atom

Entry 7:
MgTi2Bi | PBE | relaxed

a = 4.8538 Å, b = 4.8538 Å, c = 4.8538 Å
α = 60.00°, β = 60.00°, γ = 60.00°
Atoms (fractional coordinates):
Mg 0.0000 0.0000 0.0000
Bi 0.5000 0.5000 0.5000
Ti 0.2500 0.2500 0.2500
Ti 0.7500 0.7500 0.7500

Magnetic moment: 0.00 μB/f.u.
SG: Fm-3m, No. 225
Energy relative to the lowest polymorph listed for this composition: 0.75 eV per formula unit
E_form: 205 meV per atom

Entry 8:
Nd6SbTe3P2 | PBE | relaxed

a = 4.3415 Å, b = 8.9058 Å, c = 9.9114 Å
α = 104.47°, β = 102.65°, γ = 90.00°
Atoms (fractional coordinates):
Nd 0.3305 0.8843 0.6609
Nd 0.6762 0.5650 0.3525
Nd 0.6695 0.1157 0.3391
Nd 0.0147 0.2543 0.0293
Nd 0.9853 0.7457 0.9707
Nd 0.3238 0.4350 0.6475
Sb 0.5000 0.0000 0.0000
Te 0.5000 0.5000 0.0000
Te 0.8383 0.1673 0.6765
Te 0.1617 0.8327 0.3235
P 0.8311 0.6634 0.6621
P 0.1689 0.3366 0.3379

Magnetic moment: 0.00 μB/f.u.
Formation energy (no corrections): -1.49 eV per atom
SG: C2/m, No. 12